(1)
Computed, not measured: a geometry-optimized TlCu2IBr structure at the PBEsol level of DFT.

Values from the calculation:
uncorrected formation energy	0.345	eV/atom

Lattice parameters (Å, degrees): 4.7513 4.7513 6.5288 90.00 90.00 90.00
With the nearest neighbours (Å) after each atom.
Space group P4/mmm (No. 123)
Asymmetric unit:
Tl 0.0000 0.0000 0.0000 x1  2 Br 3.26, 4 I 3.36
Cu 0.0000 0.5000 0.5000 x2  2 Br 2.38
I 0.5000 0.5000 0.0000 x1  4 Tl 3.36
Br 0.0000 0.0000 0.5000 x1  4 Cu 2.38


(2)
Computed, not measured: a geometry-optimized SrPHO4 structure at the PBEsol level of DFT.

Values from the calculation:
VASP energy	-786.08	eV for the cell shown

Lattice parameters (Å, degrees): 8.0934 9.2034 18.0081 90.00 90.00 90.00
With the nearest neighbours (Å) after each atom.
Space group Pbca (No. 61)
Asymmetric unit:
Sr 0.1246 0.1774 0.1249 x8  7 O 2.48-2.74
Sr 0.1326 0.1830 0.8832 x8  9 O 2.54-2.82
P 0.0236 0.0230 0.2945 x8  4 O 1.52-1.60
P 0.2494 0.0754 0.5041 x8  4 O 1.53-1.59
H 0.0725 0.6190 0.9994 x8  1 O 1.09
H 0.2030 0.5728 0.2809 x8  1 O 1.08
O 0.0571 0.5011 0.2835 x8  1 H 1.35
O 0.0790 0.6212 0.8279 x8  1 P 1.52
O 0.0847 0.6163 0.1554 x8  1 P 1.52
O 0.0868 0.1649 0.5053 x8  1 H 1.36
O 0.1548 0.5991 0.5764 x8  1 P 1.53
O 0.1547 0.6067 0.4325 x8  1 P 1.53
O 0.1781 0.1265 0.2772 x8  1 H 1.08
O 0.2035 0.5928 0.0010 x8  1 H 1.09


(3)
Computed, not measured: a geometry-optimized Sr5P3O13 structure at the PBEsol level of DFT.

Values from the calculation:
uncorrected formation energy	-2.835	eV/atom

Lattice parameters (Å, degrees): 9.7455 9.7455 7.2654 90.00 90.00 120.00
With the nearest neighbours (Å) after each atom.
Space group P6_3/m (No. 176)
Asymmetric unit:
Sr 0.0136 0.7552 0.2500 x6  6 O 2.45-2.64
Sr 0.3333 0.6667 0.0002 x4  6 O 2.56
P 0.0334 0.6333 0.7500 x6  4 O 1.55
O 0.0000 0.0000 0.2500 x2  3 Sr 2.45
O 0.0867 0.7410 0.5770 x12  1 P 1.55
O 0.1222 0.5380 0.7500 x6  1 P 1.55
O 0.1486 0.4807 0.2500 x6  1 P 1.55